Computed, not measured: Mn3Ga5O12 after structural relaxation at the PBE with a Hubbard U level of DFT.

The space group is Ia-3d (No. 230) and the conventional cell measures 12.160, 12.160 and 12.160 Å, with angles of 90.00, 90.00 and 90.00 degrees. Symmetry generates all atoms from Mn at (0.000, 0.250, 0.125), Ga at (0.000, 0.000, 0.000), Ga at (0.000, 0.250, 0.375) and O at (0.017, 0.049, 0.655).

The total energy comes out at -6.42 eV per atom.